1.
Material: NbNi2Sn
Method: DFT, GGA-PBE
State: optimized geometry

Structure (POSCAR):
```
NbNi2Sn
1.0
4.051 0.000 0.000
0.000 4.051 0.000
0.000 0.000 3.718
Nb Ni Sn
1 2 1
direct
0.000 0.000 0.000 Nb
0.000 0.500 0.500 Ni
0.500 0.000 0.500 Ni
0.500 0.500 0.000 Sn
```

Results
The calculated volume is 15.3 Å³ per atom. The value obtained for the energy of formation from the pure elements is -88 meV/atom.


2.
Material: NbNi2Sn
Method: DFT, GGA-PBE
State: optimized geometry

Structure (POSCAR):
```
NbNi2Sn
1.0
3.275 0.000 0.000
0.000 3.275 0.000
0.000 0.000 5.864
Nb Ni Sn
1 2 1
direct
0.000 0.000 0.000 Nb
0.500 0.500 0.218 Ni
0.500 0.500 0.782 Ni
0.000 0.000 0.500 Sn
```

Results
The calculated volume is 15.7 Å³ per atom. The value obtained for the energy of formation from the pure elements is -116 meV/atom.


3.
Material: Nb3NiSn
Method: DFT, GGA-PBE
State: optimized geometry

Structure (POSCAR):
```
Nb3NiSn
1.0
4.649 0.000 0.000
0.000 4.649 0.000
0.000 0.000 4.649
Nb Ni Sn
3 1 1
direct
0.000 0.000 0.500 Nb
0.000 0.500 0.000 Nb
0.500 0.000 0.000 Nb
0.000 0.000 0.000 Ni
0.500 0.500 0.500 Sn
```

Results
The calculated volume is 20.1 Å³ per atom. The value obtained for the energy of formation from the pure elements is 510 meV/atom. The energy relative to the lowest polymorph listed for this composition comes out at 0.000 eV/atom.


4.
Material: NbNi2Sn2
Method: DFT, GGA-PBE
State: optimized geometry

Structure (POSCAR):
```
NbNi2Sn2
1.0
7.226 0.000 0.000
0.000 7.226 0.000
0.000 0.000 3.165
Nb Ni Sn
2 4 4
direct
0.000 0.000 0.000 Nb
0.500 0.500 0.000 Nb
0.122 0.378 0.000 Ni
0.378 0.878 0.000 Ni
0.622 0.122 0.000 Ni
0.878 0.622 0.000 Ni
0.174 0.674 0.500 Sn
0.326 0.174 0.500 Sn
0.674 0.826 0.500 Sn
0.826 0.326 0.500 Sn
```

Results
The calculated volume is 16.5 Å³ per atom. The value obtained for the energy of formation from the pure elements is -48 meV/atom. The energy relative to the lowest polymorph listed for this composition comes out at 0.000 eV/atom.


5.
Material: Nb3NiSn
Method: DFT, GGA-PBE
State: optimized geometry

Structure (POSCAR):
```
Nb3NiSn
1.0
5.014 0.000 0.000
0.000 5.014 0.000
0.000 0.000 5.014
Nb Ni Sn
3 1 1
direct
0.000 0.000 0.500 Nb
0.000 0.500 0.000 Nb
0.500 0.000 0.000 Nb
0.500 0.500 0.500 Ni
0.000 0.000 0.000 Sn
```

Results
The calculated volume is 25.2 Å³ per atom. The value obtained for the energy of formation from the pure elements is 1993 meV/atom. The energy relative to the lowest polymorph listed for this composition comes out at 1.483 eV/atom.


6.
Material: NbNi2Sn
Method: DFT, GGA-PBE
State: optimized geometry

Structure (POSCAR):
```
NbNi2Sn
1.0
-1.993 1.993 8.572
1.993 -1.993 8.572
1.993 1.993 -8.572
Nb Ni Sn
2 4 2
direct
0.000 0.000 0.000 Nb
0.750 0.250 0.500 Nb
0.113 0.625 0.988 Ni
0.375 0.363 0.488 Ni
0.637 0.125 0.012 Ni
0.875 0.887 0.512 Ni
0.250 0.750 0.500 Sn
0.500 0.500 0.000 Sn
```

Results
The calculated volume is 17.0 Å³ per atom. The value obtained for the energy of formation from the pure elements is 273 meV/atom.


7.
Material: Nb2NiSn2
Method: DFT, GGA-PBE
State: optimized geometry

Structure (POSCAR):
```
Nb2NiSn2
1.0
6.578 0.000 0.000
0.000 6.578 0.000
0.000 0.000 4.419
Nb Ni Sn
4 2 4
direct
0.152 0.348 0.000 Nb
0.348 0.848 0.000 Nb
0.652 0.152 0.000 Nb
0.848 0.652 0.000 Nb
0.000 0.000 0.500 Ni
0.500 0.500 0.500 Ni
0.154 0.654 0.500 Sn
0.346 0.154 0.500 Sn
0.654 0.846 0.500 Sn
0.846 0.346 0.500 Sn
```

Results
The calculated volume is 19.1 Å³ per atom. The value obtained for the energy of formation from the pure elements is 133 meV/atom.


8.
Material: NbNi3Sn
Method: DFT, GGA-PBE
State: optimized geometry

Structure (POSCAR):
```
NbNi3Sn
1.0
4.599 0.000 0.000
0.000 4.599 0.000
0.000 0.000 4.599
Nb Ni Sn
1 3 1
direct
0.000 0.000 0.000 Nb
0.000 0.000 0.500 Ni
0.000 0.500 0.000 Ni
0.500 0.000 0.000 Ni
0.500 0.500 0.500 Sn
```

Results
The calculated volume is 19.5 Å³ per atom. The value obtained for the energy of formation from the pure elements is 1035 meV/atom. The energy relative to the lowest polymorph listed for this composition comes out at 0.000 eV/atom.


Question: The highest energy of formation from the pure elements belongs to which entry?
Answer: number 5


Question: Among the records above, which one has the highest energy of formation from the pure elements?
Answer: number 5